Entry from the Alexandria database: an optimized crystal structure of PuScIn (PBE).

a b c (Å): 7.470 7.470 7.470
angles (deg): 155.02 155.02 35.62
Positions (direct):
1 Pu 0.000 0.000 0.000
2 Sc 0.678 0.678 0.000
3 In 0.329 0.329 0.000

Volume in Å³ per atom: 24.741
Total magnetization in Bohr magnetons per cell: 5.6
Mass density in g/cm3: 9.033
DOS(E_F) in states/eV/cell: 7.8
ΔH_f (0 K) in eV per atom: -0.13

---

Entry from the Alexandria database: an optimized crystal structure of PuSc4In (PBE).

a b c (Å): 7.984 7.984 7.984
angles (deg): 99.68 99.68 131.59
Positions (direct):
1 Pu 0.000 0.000 0.000
2 Pu 0.750 0.250 0.500
3 Sc 0.006 0.265 0.260
4 Sc 0.006 0.746 0.740
5 Sc 0.006 0.779 0.227
6 Sc 0.015 0.256 0.760
7 Sc 0.496 0.256 0.240
8 Sc 0.529 0.256 0.727
9 Sc 0.529 0.802 0.273
10 Sc 0.552 0.779 0.773
11 In 0.251 0.751 0.500
12 In 0.501 0.501 0.000

Volume in Å³ per atom: 28.928
Total magnetization in Bohr magnetons per cell: 14.6
Mass density in g/cm3: 5.153
DOS(E_F) in states/eV/cell: 17.2
ΔH_f (0 K) in eV per atom: 0.50

---

Entry from the Alexandria database: an optimized crystal structure of PuScIn2 (PBE).

a b c (Å): 10.577 10.577 10.577
angles (deg): 18.19 18.19 18.19
Positions (direct):
1 Pu 0.000 0.000 0.000
2 Sc 0.167 0.167 0.167
3 In 0.579 0.579 0.579
4 In 0.755 0.755 0.755

Volume in Å³ per atom: 25.170
Total magnetization in Bohr magnetons per cell: 5.9
Mass density in g/cm3: 8.553
DOS(E_F) in states/eV/cell: 9.9
ΔH_f (0 K) in eV per atom: -0.15

---

Entry from the Alexandria database: an optimized crystal structure of PuScIn2 (PBE).

a b c (Å): 3.198 3.198 9.366
angles (deg): 90.00 90.00 90.00
Positions (direct):
1 Pu 0.000 0.000 0.000
2 Sc 0.000 0.000 0.500
3 In 0.500 0.500 0.265
4 In 0.500 0.500 0.735

Volume in Å³ per atom: 23.945
Total magnetization in Bohr magnetons per cell: 6.1
Mass density in g/cm3: 8.991
DOS(E_F) in states/eV/cell: 7.4
ΔH_f (0 K) in eV per atom: -0.31

---

Entry from the Alexandria database: an optimized crystal structure of PuSc5In3 (PBE).

a b c (Å): 8.818 8.818 6.278
angles (deg): 90.00 90.00 120.00
Positions (direct):
1 Pu 0.000 0.000 0.000
2 Pu 0.000 0.000 0.500
3 Sc 0.000 0.320 0.250
4 Sc 0.000 0.680 0.750
5 Sc 0.320 0.000 0.250
6 Sc 0.320 0.320 0.750
7 Sc 0.333 0.667 0.000
8 Sc 0.333 0.667 0.500
9 Sc 0.667 0.333 0.000
10 Sc 0.667 0.333 0.500
11 Sc 0.680 0.000 0.750
12 Sc 0.680 0.680 0.250
13 In 0.000 0.350 0.750
14 In 0.000 0.650 0.250
15 In 0.350 0.000 0.750
16 In 0.350 0.350 0.250
17 In 0.650 0.000 0.250
18 In 0.650 0.650 0.750

Volume in Å³ per atom: 23.485
Total magnetization in Bohr magnetons per cell: 13.6
Mass density in g/cm3: 6.389
DOS(E_F) in states/eV/cell: 18.0
ΔH_f (0 K) in eV per atom: -0.34

---

Entry from the Alexandria database: an optimized crystal structure of PuScInTc (PBE).

a b c (Å): 4.930 4.930 4.930
angles (deg): 60.00 60.00 60.00
Positions (direct):
1 Pu 0.000 0.000 0.000
2 Sc 0.500 0.500 0.500
3 In 0.750 0.750 0.750
4 Tc 0.250 0.250 0.250

Volume in Å³ per atom: 21.177
Total magnetization in Bohr magnetons per cell: 4.9
Mass density in g/cm3: 9.836
DOS(E_F) in states/eV/cell: 9.7
ΔH_f (0 K) in eV per atom: 0.00

---

Entry from the Alexandria database: an optimized crystal structure of PuSc2In3Te6 (PBE).

a b c (Å): 7.483 7.483 8.335
angles (deg): 98.63 98.63 119.91
Positions (direct):
1 Pu 0.000 0.000 0.000
2 Sc 0.332 0.668 0.000
3 Sc 0.668 0.332 0.000
4 In 0.161 0.839 0.500
5 In 0.500 0.500 0.500
6 In 0.839 0.161 0.500
7 Te 0.072 0.421 0.216
8 Te 0.280 0.280 0.789
9 Te 0.421 0.072 0.216
10 Te 0.579 0.928 0.784
11 Te 0.720 0.720 0.211
12 Te 0.928 0.579 0.784

Volume in Å³ per atom: 32.165
Total magnetization in Bohr magnetons per cell: 5.2
Mass density in g/cm3: 6.212
DOS(E_F) in states/eV/cell: 15.9
Raw formation energy in eV per atom: -0.7915

---

Entry from the Alexandria database: an optimized crystal structure of PuScTlIn (PBE).

a b c (Å): 5.243 5.243 5.243
angles (deg): 60.00 60.00 60.00
Positions (direct):
1 Pu 0.000 0.000 0.000
2 Sc 0.500 0.500 0.500
3 Tl 0.750 0.750 0.750
4 In 0.250 0.250 0.250

Volume in Å³ per atom: 25.484
Total magnetization in Bohr magnetons per cell: 6.1
Mass density in g/cm3: 9.907
DOS(E_F) in states/eV/cell: 10.2
ΔH_f (0 K) in eV per atom: -0.17